1.
Material: Ru5Rh
Method: DFT, GGA-PBEsol
State: relaxed

abc: 3.768 3.770 5.941
angles: 90.00 108.49 90.00
Fractional positions:
Ru  0.832  0.000  0.664
Ru  0.000  0.500  0.000
Rh  0.500  0.000  0.000
Ru  0.333  0.500  0.665
Ru  0.667  0.500  0.335
Ru  0.168  0.000  0.336

Computed properties:
Mass density: 12.62 g/cm³
Formation energy: 0.0906 eV per atom
Symmetry: Cmmm
Energy above the lowest structure with this stoichiometry: 0.095 eV per atom
V: 13.34 Å³ per atom
Crystal system: orthorhombic


2.
Material: TiIn2Rh
Method: DFT, GGA-PBEsol
State: relaxed

abc: 4.602 4.602 4.602
angles: 60.00 60.00 60.00
Last column: magnetic moment on the atom in μB.
Fractional positions:
In  0.250  0.250  0.250  0.02
In  0.750  0.750  0.750  0.02
Ti  0.000  0.000  0.000  0.90
Rh  0.500  0.500  0.500  0.23

Computed properties:
Mass density: 9.17 g/cm³
Formation energy: -0.2223 eV per atom
Symmetry: Fm-3m
V: 17.23 Å³ per atom
Crystal system: cubic


3.
Material: CdSiCl3
Method: DFT, GGA-PBEsol
State: relaxed

abc: 5.045 5.045 5.045
angles: 90.00 90.00 90.00
Last column: magnetic moment on the atom in μB.
Fractional positions:
Cl  0.500  0.000  0.000  -0.01
Cl  0.000  0.500  0.000  -0.01
Cl  0.000  0.000  0.500  -0.01
Si  0.500  0.500  0.500  0.33
Cd  0.000  0.000  0.000  0.00

Computed properties:
Mass density: 3.19 g/cm³
Symmetry: Pm-3m
V: 25.68 Å³ per atom
Energy relative to the elements, uncorrected: -0.39 eV per formula unit
Crystal system: cubic


4.
Material: Tc2MoIr
Method: DFT, GGA-PBEsol
State: relaxed

abc: 3.849 3.849 3.850
angles: 90.00 90.00 90.00
Fractional positions:
Tc  0.500  0.000  0.000
Ir  0.500  0.500  0.500
Tc  0.000  0.500  0.000
Mo  0.000  0.000  0.500

Computed properties:
Mass density: 14.10 g/cm³
Formation energy: -0.1314 eV per atom
Symmetry: P4/mmm
Energy above the lowest structure with this stoichiometry: 0.000 eV per atom
V: 14.26 Å³ per atom
Crystal system: tetragonal


5.
Material: Ba2ErGaSe5
Method: DFT, GGA-PBEsol
State: relaxed

abc: 7.260 8.585 9.316
angles: 103.42 103.37 107.32
Fractional positions:
Se  0.986  0.678  0.685
Er  0.001  0.269  0.001
Se  0.485  0.741  0.491
Se  0.285  0.090  0.069
Se  0.515  0.259  0.509
Se  0.983  0.157  0.686
Se  0.014  0.322  0.315
Ba  0.653  0.488  0.290
Se  0.017  0.843  0.314
Ba  0.635  0.979  0.288
Ba  0.365  0.021  0.712
Ga  0.194  0.128  0.313
Se  0.715  0.910  0.931
Se  0.707  0.412  0.943
Ga  0.806  0.872  0.687
Er  0.999  0.731  0.999
Ba  0.347  0.512  0.710
Se  0.293  0.588  0.057

Computed properties:
Mass density: 5.90 g/cm³
Symmetry: P-1
V: 28.34 Å³ per atom
Energy relative to the elements, uncorrected: -14.77 eV per formula unit
Crystal system: triclinic


6.
Material: Zr3Ta
Method: DFT, GGA-PBEsol
State: relaxed

abc: 2.961 2.961 10.107
angles: 90.00 90.00 111.47
Fractional positions:
Zr  0.000  0.000  0.500
Zr  0.500  0.500  0.234
Ta  0.000  0.000  0.000
Zr  0.500  0.500  0.766

Computed properties:
Mass density: 9.15 g/cm³
Formation energy: 0.1113 eV per atom
Symmetry: Cmmm
Energy above the lowest structure with this stoichiometry: 0.000 eV per atom
V: 20.62 Å³ per atom
Crystal system: orthorhombic


7.
Material: TiTeW3
Method: DFT, GGA-PBEsol
State: relaxed

abc: 4.791 4.791 4.791
angles: 90.00 90.00 90.00
Last column: magnetic moment on the atom in μB.
Fractional positions:
W  0.000  0.500  0.000  0.07
W  0.000  0.000  0.500  0.07
Ti  0.500  0.500  0.500  0.30
W  0.500  0.000  0.000  0.07
Te  0.000  0.000  0.000  -0.01

Computed properties:
Mass density: 10.98 g/cm³
Symmetry: Pm-3m
V: 21.99 Å³ per atom
Energy relative to the elements, uncorrected: 12.09 eV per formula unit
Crystal system: cubic


8.
Material: YScTl2
Method: DFT, GGA-PBEsol
State: relaxed

abc: 3.777 4.854 6.208
angles: 113.01 107.71 90.00
Fractional positions:
Sc  0.252  0.752  0.504
Tl  0.742  0.242  0.483
Tl  0.010  0.010  0.020
Y  0.497  0.497  0.993

Computed properties:
Mass density: 9.11 g/cm³
Formation energy: -0.3330 eV per atom
Symmetry: Imm2
V: 24.72 Å³ per atom
Crystal system: orthorhombic


9.
Material: Sc2TcTeAu
Method: DFT, GGA-PBEsol
State: relaxed

abc: 4.863 4.962 4.962
angles: 90.00 90.00 90.00
Fractional positions:
Sc  0.000  0.000  0.500
Au  0.500  0.000  0.000
Sc  0.000  0.500  0.000
Te  0.500  0.500  0.500
Tc  0.000  0.000  0.000

Computed properties:
Mass density: 7.11 g/cm³
Symmetry: P4/mmm
V: 23.95 Å³ per atom
Energy relative to the elements, uncorrected: 1.16 eV per formula unit
Crystal system: tetragonal


10.
Material: TaAg2As
Method: DFT, GGA-PBEsol
State: relaxed

abc: 2.848 5.039 5.663
angles: 116.42 104.56 90.00
Fractional positions:
As  0.508  0.508  0.017
Ag  0.751  0.251  0.501
Ta  0.241  0.741  0.483
Ag  0.000  0.000  0.999

Computed properties:
Mass density: 11.21 g/cm³
Formation energy: 0.3509 eV per atom
Symmetry: Imm2
V: 17.46 Å³ per atom
Crystal system: orthorhombic


11.
Material: Zr3HgPb
Method: DFT, GGA-PBEsol
State: relaxed

abc: 5.288 5.288 5.288
angles: 90.00 90.00 90.00
Fractional positions:
Zr  0.000  0.500  0.000
Zr  0.000  0.000  0.500
Hg  0.500  0.500  0.500
Pb  0.000  0.000  0.000
Zr  0.500  0.000  0.000

Computed properties:
Mass density: 7.65 g/cm³
Formation energy: 1.0573 eV per atom
Symmetry: Pm-3m
V: 29.57 Å³ per atom
Crystal system: cubic


12.
Material: K3W
Method: DFT, GGA-PBEsol
State: relaxed

abc: 3.590 5.604 8.249
angles: 90.00 90.00 90.00
Last column: magnetic moment on the atom in μB.
Fractional positions:
W  0.000  0.000  0.000  3.06
K  0.500  0.500  0.205  0.02
K  0.000  0.000  0.500  0.00
K  0.500  0.500  0.795  0.02

Computed properties:
Mass density: 3.01 g/cm³
Formation energy: 1.6325 eV per atom
Symmetry: Pmmm
V: 41.49 Å³ per atom
Crystal system: orthorhombic